[1]
YTmP: relaxed, PBE.

abc: 3.8783 3.8783 6.2834
angles: 90.00 90.00 120.00
Space group P3m1 (No. 156)
One atom of each set of equivalent atoms:
Y  0.0000  0.0000  0.0000
Tm  0.3333  0.6667  0.5014
P  0.6667  0.3333  0.2555

Results
Crystal system: trigonal
Energy of formation (eV per atom): -0.980
Theoretical density (g cm⁻³): 5.86
Total magnetization (μB per cell): 0.04

[2]
Y5TmP6: relaxed, PBE.

abc: 6.9367 12.0099 6.9337
angles: 90.00 109.48 90.00
Space group C2/m (No. 12)
One atom of each set of equivalent atoms:
Y  0.0000  0.0000  0.0000
Y  0.0000  0.1665  0.5000
Y  0.0000  0.3329  0.0000
Tm  0.0000  0.5000  0.5000
P  0.2483  0.3345  0.7485
P  0.2481  0.5000  0.2513

Results
Crystal system: monoclinic
Energy of formation (eV per atom): -1.625
Theoretical density (g cm⁻³): 4.87
Total magnetization (μB per cell): 0.00

[3]
YTm3P4: relaxed, PBE.

abc: 7.9288 11.2133 3.9656
angles: 90.00 90.00 90.00
Space group Cmmm (No. 65)
One atom of each set of equivalent atoms:
Y  0.0000  0.0000  0.0000
Tm  0.0000  0.5000  0.0000
Tm  0.2500  0.2500  0.5000
P  0.0000  0.2514  0.0000
P  0.2471  0.5000  0.5000

Results
Crystal system: orthorhombic
Energy of formation (eV per atom): -1.611
Theoretical density (g cm⁻³): 6.78
Total magnetization (μB per cell): 0.00

[4]
YTmP: relaxed, PBE.

abc: 5.7210 4.0155 7.1700
angles: 90.00 111.56 90.00
Space group P2_1/m (No. 11)
One atom of each set of equivalent atoms:
Y  0.2192  0.2500  0.4229
Tm  0.2323  0.2500  0.9455
P  0.3193  0.7500  0.7113

Results
Crystal system: monoclinic
Energy of formation (eV per atom): -0.967
Theoretical density (g cm⁻³): 6.26
Total magnetization (μB per cell): 0.00

[5]
Y3TmP4: relaxed, PBE.

abc: 6.9219 8.0019 6.9218
angles: 90.00 109.50 90.00
Space group P2/c (No. 13)
One atom of each set of equivalent atoms:
Y  0.0000  0.1255  0.2500
Y  0.0000  0.3752  0.7500
Y  0.5000  0.1254  0.7500
Tm  0.5000  0.3754  0.2500
P  0.2513  0.1266  0.0017
P  0.2531  0.3767  0.4998

Results
Crystal system: monoclinic
Energy of formation (eV per atom): -1.623
Theoretical density (g cm⁻³): 5.14
Total magnetization (μB per cell): 0.00

[6]
Y3Tm5P8: relaxed, PBE.

abc: 7.9445 7.9445 19.4615
angles: 90.00 90.00 120.00
Space group R-3m (No. 166, hexagonal axes)
One atom of each set of equivalent atoms:
Y  0.0000  0.5000  0.0000
Tm  0.0000  0.0000  0.0000
Tm  0.0000  0.0000  0.5000
Tm  0.0000  0.5000  0.5000
P  0.0000  0.0000  0.2485
P  0.0019  0.5010  0.7509

Results
Crystal system: trigonal
Energy of formation (eV per atom): -1.613
Theoretical density (g cm⁻³): 6.37
Total magnetization (μB per cell): 0.00

[7]
Y2TmP: relaxed, PBE.

abc: 3.7967 3.7967 27.8833
angles: 90.00 90.00 120.00
Space group R-3m (No. 166, hexagonal axes)
One atom of each set of equivalent atoms:
Y  0.0000  0.0000  0.2257
Tm  0.0000  0.0000  0.0000
P  0.0000  0.0000  0.5000

Results
Crystal system: trigonal
Energy of formation (eV per atom): -0.684
Theoretical density (g cm⁻³): 5.41
Total magnetization (μB per cell): 2.51

[8]
Y5Tm3P8: relaxed, PBE.

abc: 7.9783 7.9783 19.5416
angles: 90.00 90.00 120.00
Space group R-3m (No. 166, hexagonal axes)
One atom of each set of equivalent atoms:
Y  0.0000  0.0000  0.0000
Y  0.0000  0.0000  0.5000
Y  0.0000  0.5000  0.0000
Tm  0.0000  0.5000  0.5000
P  0.0000  0.0000  0.2486
P  0.0019  0.5010  0.7510

Results
Crystal system: trigonal
Energy of formation (eV per atom): -1.619
Theoretical density (g cm⁻³): 5.55
Total magnetization (μB per cell): 0.00

[9]
Y4TmP5: relaxed, PBE.

abc: 8.9479 8.9479 5.6605
angles: 90.00 90.00 90.00
Space group I4/m (No. 87)
One atom of each set of equivalent atoms:
Y  0.0994  0.2999  0.0000
Tm  0.0000  0.0000  0.5000
P  0.0000  0.0000  0.0000
P  0.0992  0.2978  0.5000

Results
Crystal system: tetragonal
Energy of formation (eV per atom): -1.624
Theoretical density (g cm⁻³): 4.98
Total magnetization (μB per cell): 0.00

[10]
YTm2P: relaxed, PBE.

abc: 3.6862 3.6862 30.1270
angles: 90.00 90.00 120.00
Space group R-3m (No. 166, hexagonal axes)
One atom of each set of equivalent atoms:
Y  0.0000  0.0000  0.0000
Tm  0.0000  0.0000  0.1132
P  0.0000  0.0000  0.5000

Results
Crystal system: trigonal
Energy of formation (eV per atom): -0.496
Theoretical density (g cm⁻³): 6.43
Total magnetization (μB per cell): 3.08

[11]
Y2TmP3: relaxed, PBE.

abc: 6.9147 11.9753 6.9137
angles: 90.00 109.45 90.00
Space group C2/m (No. 12)
One atom of each set of equivalent atoms:
Y  0.0000  0.0000  0.0000
Y  0.0000  0.1662  0.5000
Y  0.0000  0.5000  0.5000
Tm  0.0000  0.3331  0.0000
P  0.2466  0.5000  0.2469
P  0.2503  0.1678  0.2472

Results
Crystal system: monoclinic
Energy of formation (eV per atom): -1.620
Theoretical density (g cm⁻³): 5.41
Total magnetization (μB per cell): 0.00

[12]
Y3TmP4: relaxed, PBE.

abc: 7.9950 11.3054 3.9986
angles: 90.00 90.00 90.00
Space group Cmmm (No. 65)
One atom of each set of equivalent atoms:
Y  0.0000  0.0000  0.0000
Y  0.2500  0.2500  0.5000
Tm  0.0000  0.5000  0.0000
P  0.0000  0.2515  0.0000
P  0.2471  0.5000  0.5000

Results
Crystal system: orthorhombic
Energy of formation (eV per atom): -1.622
Theoretical density (g cm⁻³): 5.14
Total magnetization (μB per cell): 0.00

> The lowest theoretical density belongs to which entry?

Y5TmP6

Please write out number 8 again, unchanged.
Y5Tm3P8: relaxed, PBE.

abc: 7.9783 7.9783 19.5416
angles: 90.00 90.00 120.00
Space group R-3m (No. 166, hexagonal axes)
One atom of each set of equivalent atoms:
Y  0.0000  0.0000  0.0000
Y  0.0000  0.0000  0.5000
Y  0.0000  0.5000  0.0000
Tm  0.0000  0.5000  0.5000
P  0.0000  0.0000  0.2486
P  0.0019  0.5010  0.7510

Results
Crystal system: trigonal
Energy of formation (eV per atom): -1.619
Theoretical density (g cm⁻³): 5.55
Total magnetization (μB per cell): 0.00

> The lowest energy of formation belongs to which entry?

Y5TmP6